Here is an optimized crystal structure of LiAsPS2 from Alexandria via LeMat-Bulk. Energies are from PBE.

Unit cell a=4.8824 b=4.8824 c=4.7288 alpha=90.00 beta=90.00 gamma=90.00
With the nearest neighbours (Å) after each atom.
Fractional coordinates of all 5 atoms:
S  0.0000  0.5000  0.0000  2 As 2.44
S  0.5000  0.0000  0.0000  2 As 2.44
Li  0.5000  0.5000  0.5000  8 S 3.40, 4 P 3.45
As  0.0000  0.0000  0.0000  2 P 2.36, 4 S 2.44
P  0.0000  0.0000  0.5000  2 As 2.36

Crystal system: tetragonal
ΔE_f (raw), eV per atom: 0.360

***

Here is an optimized crystal structure of LiAsP2S from Alexandria via LeMat-Bulk. Energies are from PBE.

Unit cell a=4.7363 b=4.9738 c=4.7363 alpha=90.00 beta=90.00 gamma=90.00
With the nearest neighbours (Å) after each atom.
Fractional coordinates of all 5 atoms:
Li  0.5000  0.5000  0.5000  4 S 3.35, 8 P 3.43
P  0.0000  0.0000  0.5000  2 As 2.37
P  0.5000  0.0000  0.0000  2 As 2.37
S  0.0000  0.5000  0.0000  2 As 2.49
As  0.0000  0.0000  0.0000  4 P 2.37, 2 S 2.49

Crystal system: tetragonal
ΔE_f (raw), eV per atom: 0.589

***

no.,magnetization (μB per atom),E above lowest polymorph (meV per atom)
1,0.237,0.0
2,0.090,0.0